# MgBRhO4 | Alexandria via LeMat-Bulk | PBE | optimized geometry
# - DOS at the Fermi energy: 0.2 states/eV/f.u.
# - Formation energy from raw total energies: -11.97 eV per formula unit
# - V: 8.84 A^3/atom
data_MgBRhO4
_cell_length_a 5.5714
_cell_length_b 5.5945
_cell_length_c 5.5945
_cell_angle_alpha 60.20
_cell_angle_beta 60.14
_cell_angle_gamma 60.14
_space_group_name_H-M_alt 'P 1'
_space_group_IT_number 1
_space_group_name_Hall 'P 1'
loop_
_atom_site_label
_atom_site_type_symbol
_atom_site_fract_x
_atom_site_fract_y
_atom_site_fract_z
Rh1 Rh 0.0000 0.5000 0.5000
Mg1 Mg 0.0000 0.0000 0.5000
O1 O 0.7372 0.7355 0.2355
O2 O 0.2626 0.2624 0.2124
O3 O 0.2626 0.7124 0.7624
B1 B 0.3588 0.3912 0.8912
O4 O 0.7374 0.2876 0.2376
B2 B 0.6412 0.6088 0.1088
Mg2 Mg 0.5000 0.0000 0.5000
O5 O 0.2918 0.7355 0.2355
O6 O 0.7374 0.7376 0.7876
O7 O 0.2628 0.2645 0.7645
O8 O 0.7082 0.2645 0.7645
Rh2 Rh 0.0000 0.0000 0.0000

# DyHoScIn | Alexandria via LeMat-Bulk | PBE | optimized geometry
# - DOS at the Fermi energy: 5.3 states/eV/f.u.
# - Formation energy: -0.2599 eV per atom
# - V: 26.47 A^3/atom
data_DyHoScIn
_cell_length_a 4.7158
_cell_length_b 4.7362
_cell_length_c 4.7401
_cell_angle_alpha 90.00
_cell_angle_beta 90.00
_cell_angle_gamma 90.00
_space_group_name_H-M_alt 'P 1'
_space_group_IT_number 1
_space_group_name_Hall 'P 1'
loop_
_atom_site_label
_atom_site_type_symbol
_atom_site_fract_x
_atom_site_fract_y
_atom_site_fract_z
Ho1 Ho 0.5000 0.0000 0.5000
In1 In 0.0000 0.5000 0.5000
Sc1 Sc 0.0000 0.0000 0.0000
Dy1 Dy 0.5000 0.5000 0.0000

# AgTeRh3 | Alexandria via LeMat-Bulk | PBE | optimized geometry
# - DOS at the Fermi energy: 3.3 states/eV/f.u.
# - Formation energy from raw total energies: 4.19 eV per formula unit
# - V: 22.34 A^3/atom
data_AgTeRh3
_cell_length_a 4.8162
_cell_length_b 4.8162
_cell_length_c 4.8162
_cell_angle_alpha 90.00
_cell_angle_beta 90.00
_cell_angle_gamma 90.00
_space_group_name_H-M_alt 'P 1'
_space_group_IT_number 1
_space_group_name_Hall 'P 1'
loop_
_atom_site_label
_atom_site_type_symbol
_atom_site_fract_x
_atom_site_fract_y
_atom_site_fract_z
Rh1 Rh 0.0000 0.0000 0.5000
Rh2 Rh 0.0000 0.5000 0.0000
Rh3 Rh 0.5000 0.0000 0.0000
Ag1 Ag 0.5000 0.5000 0.5000
Te1 Te 0.0000 0.0000 0.0000

# K2TlHgSe | Alexandria via LeMat-Bulk | PBE | optimized geometry
# - DOS at the Fermi energy: 2.8 states/eV/f.u.
# - Formation energy from raw total energies: -1.98 eV per formula unit
# - V: 47.66 A^3/atom
data_K2TlHgSe
_cell_length_a 6.1522
_cell_length_b 6.1522
_cell_length_c 6.2965
_cell_angle_alpha 90.00
_cell_angle_beta 90.00
_cell_angle_gamma 90.00
_space_group_name_H-M_alt 'P 1'
_space_group_IT_number 1
_space_group_name_Hall 'P 1'
loop_
_atom_site_label
_atom_site_type_symbol
_atom_site_fract_x
_atom_site_fract_y
_atom_site_fract_z
K1 K 0.5000 0.0000 0.0000
K2 K 0.0000 0.5000 0.0000
Tl1 Tl 0.0000 0.0000 0.5000
Hg1 Hg 0.5000 0.5000 0.5000
Se1 Se 0.0000 0.0000 0.0000

# Tb6Cd3Hg | Alexandria via LeMat-Bulk | PBE | optimized geometry
# - DOS at the Fermi energy: 10.1 states/eV/f.u.
# - Formation energy: -0.2509 eV per atom
# - V: 27.45 A^3/atom
data_Tb6Cd3Hg
_cell_length_a 5.3399
_cell_length_b 9.2738
_cell_length_c 11.7014
_cell_angle_alpha 108.67
_cell_angle_beta 90.00
_cell_angle_gamma 90.00
_space_group_name_H-M_alt 'P 1'
_space_group_IT_number 1
_space_group_name_Hall 'P 1'
loop_
_atom_site_label
_atom_site_type_symbol
_atom_site_fract_x
_atom_site_fract_y
_atom_site_fract_z
Tb1 Tb 0.7500 0.5363 0.9127
Tb2 Tb 0.2500 0.4637 0.0873
Tb3 Tb 0.7500 0.7486 0.5026
Tb4 Tb 0.2500 0.1324 0.1580
Cd1 Cd 0.7500 0.4722 0.6248
Tb5 Tb 0.2500 0.6597 0.6746
Cd2 Cd 0.2500 0.3888 0.7838
Tb6 Tb 0.7500 0.8676 0.8420
Cd3 Cd 0.2500 0.7722 0.9749
Tb7 Tb 0.7500 0.9012 0.1278
Hg1 Hg 0.2500 0.9507 0.5975
Tb8 Tb 0.7500 0.1564 0.6915
Tb9 Tb 0.2500 0.8436 0.3085
Hg2 Hg 0.7500 0.0493 0.4025
Cd4 Cd 0.7500 0.6112 0.2162
Cd5 Cd 0.2500 0.5278 0.3752
Tb10 Tb 0.2500 0.0988 0.8722
Tb11 Tb 0.7500 0.3403 0.3254
Cd6 Cd 0.7500 0.2278 0.0251
Tb12 Tb 0.2500 0.2514 0.4974

# ReOsRh2 | Alexandria via LeMat-Bulk | PBE | optimized geometry
# - DOS at the Fermi energy: 4.0 states/eV/f.u.
# - Formation energy: 0.0035 eV per atom
# - V: 14.36 A^3/atom
data_ReOsRh2
_cell_length_a 4.7235
_cell_length_b 4.7235
_cell_length_c 4.7573
_cell_angle_alpha 80.97
_cell_angle_beta 80.97
_cell_angle_gamma 33.28
_space_group_name_H-M_alt 'P 1'
_space_group_IT_number 1
_space_group_name_Hall 'P 1'
loop_
_atom_site_label
_atom_site_type_symbol
_atom_site_fract_x
_atom_site_fract_y
_atom_site_fract_z
Rh1 Rh 0.2462 0.2462 0.2545
Os1 Os 0.4990 0.4990 0.5000
Rh2 Rh 0.0039 0.0039 0.9958
Re1 Re 0.7508 0.7508 0.7497